Entry 1:
Density functional theory data (PBE-GGA) for a relaxed Sr5PrIn6 crystal.

POSCAR file:
```
Sr5PrIn6
1.0
9.030 -4.037 0.000
9.030 4.037 0.000
-1.791 0.000 5.436
Sr Pr In
5 1 6
direct
0.000 0.000 0.000 Sr
0.162 0.162 0.662 Sr
0.324 0.324 0.324 Sr
0.676 0.676 0.676 Sr
0.838 0.838 0.338 Sr
0.500 0.500 0.000 Pr
0.103 0.574 0.839 In
0.272 0.728 0.500 In
0.426 0.897 0.161 In
0.574 0.103 0.839 In
0.728 0.272 0.500 In
0.897 0.426 0.161 In
```

Crystal system   monoclinic
Symmetry   C2/m (12)
ΔH_f (0 K)   -0.43 eV/atom
Fermi-level density of states   8.372 states/eV per cell
Total energy   -2.903 eV per atom

---

Entry 2:
Density functional theory data (PBE-GGA) for a relaxed La2CoCuN crystal.

POSCAR file:
```
La2CoCuN
1.0
5.234 0.000 0.000
0.000 5.234 0.000
0.000 0.000 3.594
La Co Cu N
2 1 1 1
direct
0.000 0.500 0.000 La
0.500 0.000 0.000 La
0.000 0.000 0.500 Co
0.500 0.500 0.500 Cu
0.000 0.000 0.000 N
```

Crystal system   tetragonal
Symmetry   P4/mmm (123)
Fermi-level density of states   4.454 states/eV per cell
Raw formation energy   -0.5612 eV per atom
Total energy   -6.438 eV per atom

---

Entry 3:
Density functional theory data (PBE-GGA) for a relaxed Pm5Hg2Ru2 crystal.

POSCAR file:
```
Pm5Hg2Ru2
1.0
8.083 -3.832 0.000
8.083 3.832 0.000
0.000 0.000 7.842
Pm Hg Ru
10 4 4
direct
0.000 0.000 0.000 Pm
0.048 0.713 0.669 Pm
0.213 0.548 0.169 Pm
0.287 0.952 0.669 Pm
0.452 0.787 0.169 Pm
0.500 0.500 0.500 Pm
0.548 0.213 0.831 Pm
0.713 0.048 0.331 Pm
0.787 0.452 0.831 Pm
0.952 0.287 0.331 Pm
0.215 0.215 0.000 Hg
0.285 0.285 0.500 Hg
0.715 0.715 0.500 Hg
0.785 0.785 0.000 Hg
0.132 0.868 0.366 Ru
0.368 0.632 0.866 Ru
0.632 0.368 0.134 Ru
0.868 0.132 0.634 Ru
```

Crystal system   orthorhombic
Symmetry   Cmce (64)
ΔH_f (0 K)   -0.35 eV/atom
Fermi-level density of states   15.036 states/eV per cell
Total energy   -5.115 eV per atom